Entry w
The following is a DFT calculation (PBEsol) of crystalline Ag2OsW at its relaxed geometry.

```
4
Lattice="-1.3833 1.3922 1.7842 -2.1043 -1.5609 -0.4135 2.7600 -5.4049 6.3572" Properties=species:S:1:pos:R:3 pbc="T T T"
Ag 2.0792 -4.0715 4.7889
Ag 0.6809 -1.3333 1.5683
Os -1.7438 -0.0843 0.6854
W -0.3638 -2.7868 3.8640
```

Properties
ρ = 15.8 Mg/m³
symmetry = P4/mmm, No. 123



Entry x
The following is a DFT calculation (PBEsol) of crystalline Ag2OsW at its relaxed geometry.

```
4
Lattice="-1.9524 1.7643 -0.7368 -2.6167 -0.5402 0.5729 -0.6173 4.9118 8.3292" Properties=species:S:1:pos:R:3 pbc="T T T"
Ag -1.2940 1.5469 2.0655
Ag -3.8924 4.5889 6.0998
Os -2.5932 3.0679 4.0826
W 0.0000 0.0000 0.0000
```

Properties
ρ = 15.8 Mg/m³
symmetry = R-3m, No. 166



Relative energies, meV per atom: entry w 130; entry x 0.



Entry w
The following is a DFT calculation (PBEsol) of crystalline AgOs2W at its relaxed geometry.

```
4
Lattice="-2.0434 3.4099 -1.8855 -4.3329 -0.1699 -0.7449 -2.7384 2.5045 2.3636" Properties=species:S:1:pos:R:3 pbc="T T T"
Ag -4.5573 2.8723 -0.1334
Os 0.0000 0.0000 0.0000
Os -2.2787 1.4361 -0.0667
W -6.8360 4.3084 -0.2001
```

Properties
ρ = 18.5 Mg/m³
symmetry = F-43m, No. 216



Entry x
The following is a DFT calculation (PBEsol) of crystalline AgOs2W at its relaxed geometry.

```
4
Lattice="-1.8736 -2.2860 -2.4310 3.2946 -1.7101 -0.9311 -1.2697 -0.6905 4.6403" Properties=species:S:1:pos:R:3 pbc="T T T"
Ag 1.3677 -2.1993 1.0141
Os 0.0000 0.0000 0.0000
Os -1.2164 -2.4873 0.2641
W 0.7105 -1.9980 -1.6810
```

Properties
ρ = 18.9 Mg/m³
symmetry = I-4m2, No. 119



Relative energies, meV per atom: entry w 275; entry x 0.



Entry w
The following is a DFT calculation (PBEsol) of crystalline AgP2Pt at its relaxed geometry.

```
4
Lattice="3.8986 0.0000 0.0000 0.0000 4.0607 -0.0223 0.0000 -0.2221 4.2768" Properties=species:S:1:pos:R:3 pbc="T T T"
P 0.0000 1.0730 1.4548
P 0.0000 2.7657 2.7997
Pt 1.9493 -0.1111 2.1384
Ag 1.9493 2.0304 -0.0111
```

Properties
ρ = 9.0 Mg/m³
symmetry = P2/m, No. 10



Entry x
The following is a DFT calculation (PBEsol) of crystalline AgP2Pt at its relaxed geometry.

```
4
Lattice="-1.4045 -1.2677 3.1568 1.5315 -2.5241 -2.4776 4.8005 1.0071 2.5401" Properties=species:S:1:pos:R:3 pbc="T T T"
P 0.3697 -0.2945 0.0462
P 1.7829 -1.6321 2.2832
Pt 1.8753 -2.2669 -0.0760
Ag 4.1291 -1.2457 1.3368
```

Properties
ρ = 8.8 Mg/m³
symmetry = Cm, No. 8



Relative energies, meV per atom: entry w 11; entry x 0.



Entry w
The following is a DFT calculation (PBEsol) of crystalline AgP2Rh at its relaxed geometry.

```
4
Lattice="-0.7764 0.6063 -3.0249 2.1911 -3.4154 -1.2470 -3.4852 -2.3877 0.4160" Properties=species:S:1:pos:R:3 pbc="T T T"
Ag -0.3882 0.3031 -1.5124
P -1.7426 -1.1939 0.2080
P 1.0955 -1.7077 -0.6235
Rh -1.0353 -2.5984 -1.9279
```

Properties
ρ = 7.9 Mg/m³
symmetry = P4/mmm, No. 123



Entry x
The following is a DFT calculation (PBEsol) of crystalline AgP2Rh at its relaxed geometry.

```
4
Lattice="-3.3589 0.6698 -1.4279 0.7936 -2.1855 -2.8920 -0.2327 -2.4922 4.2001" Properties=species:S:1:pos:R:3 pbc="T T T"
Ag -0.3609 -2.7177 -0.4259
P 0.0000 0.0000 0.0000
P -2.4372 -1.2901 0.3061
Rh -1.2827 -0.7578 -2.1600
```

Properties
ρ = 8.0 Mg/m³
symmetry = I-4m2, No. 119



Relative energies, meV per atom: entry w 0; entry x 24.



Entry w
The following is a DFT calculation (PBEsol) of crystalline AgP2Ru at its relaxed geometry.

```
4
Lattice="-1.3883 2.4229 -0.0311 -0.1501 -1.4054 -2.4086 -6.7360 -3.8256 2.6520" Properties=species:S:1:pos:R:3 pbc="T T T"
Ag -2.4237 -0.4309 -0.5685
P -6.6266 -3.7635 2.6090
P -5.7203 -2.3031 0.7294
Ru -3.6077 -2.0489 1.4204
```

Properties
ρ = 7.7 Mg/m³
symmetry = Cmm2, No. 35



Entry x
The following is a DFT calculation (PBEsol) of crystalline AgP2Ru at its relaxed geometry.

```
4
Lattice="4.1597 0.0000 0.0000 -2.0799 3.8245 -0.0046 0.0000 2.2664 3.4881" Properties=species:S:1:pos:R:3 pbc="T T T"
Ag 0.0000 0.0000 0.0000
P 0.0000 2.4789 0.8697
P 2.0799 3.6120 2.6138
Ru 2.0799 1.1332 1.7441
```

Properties
ρ = 8.1 Mg/m³
symmetry = I4/mmm, No. 139



Relative energies, meV per atom: entry w 130; entry x 0.



Entry w
The following is a DFT calculation (PBEsol) of crystalline Ag2SbP at its relaxed geometry.

```
4
Lattice="4.1291 0.0000 0.0000 0.0000 4.1291 0.0000 -2.0646 -2.0646 4.4080" Properties=species:S:1:pos:R:3 pbc="T T T"
Ag 2.0646 0.0000 2.2040
Ag 0.0000 2.0646 2.2040
P 2.0646 2.0646 0.0000
Sb 0.0000 0.0000 0.0000
```

Properties
ρ = 8.1 Mg/m³
symmetry = I4/mmm, No. 139



Entry x
The following is a DFT calculation (PBEsol) of crystalline Ag2SbP at its relaxed geometry.

```
4
Lattice="4.7648 0.0000 0.0000 2.3824 4.1264 0.0000 2.3824 1.3755 3.8904" Properties=species:S:1:pos:R:3 pbc="T T T"
Ag 0.0000 0.0000 0.0000
Ag 7.1472 4.1264 2.9178
P 4.7648 2.7510 1.9452
Sb 2.3824 1.3755 0.9726
```

Properties
ρ = 8.0 Mg/m³
symmetry = F-43m, No. 216



Relative energies, meV per atom: entry w 0; entry x 107.



Entry w
The following is a DFT calculation (PBEsol) of crystalline ScAg2P at its relaxed geometry.

```
4
Lattice="3.5235 0.0000 0.0000 0.0000 3.5235 0.0000 0.0000 0.0000 5.8924" Properties=species:S:1:pos:R:3 pbc="T T T"
Ag 0.0000 0.0000 0.1016
Ag 1.7617 1.7617 1.2440
P 0.0000 0.0000 3.3927
Sc 1.7617 1.7617 4.1003
```

Properties
ρ = 6.6 Mg/m³
symmetry = P4mm, No. 99



Entry x
The following is a DFT calculation (PBEsol) of crystalline ScAg2P at its relaxed geometry.

```
4
Lattice="3.7652 0.0059 0.0000 0.0033 3.7652 0.0000 0.0000 0.0000 5.0251" Properties=species:S:1:pos:R:3 pbc="T T T"
Ag 2.8404 2.8424 0.0000
Ag 0.9281 0.9287 0.0000
P 0.0000 0.0000 2.5126
Sc 1.8842 1.8856 2.5126
```

Properties
ρ = 6.8 Mg/m³
symmetry = Cmmm, No. 65



Relative energies, meV per atom: entry w 84; entry x 0.



Entry w
The following is a DFT calculation (PBEsol) of crystalline Ag2PSe at its relaxed geometry.

```
4
Lattice="-1.0876 -2.2500 -1.2171 3.5316 -1.7463 0.0725 -1.3931 -2.5685 5.9932" Properties=species:S:1:pos:R:3 pbc="T T T"
Ag -0.0213 -0.0392 0.0915
Ag 0.8411 -2.7004 1.0663
P -0.5841 -1.0769 2.5129
Se 0.1186 -4.0325 4.1746
```

Properties
ρ = 7.4 Mg/m³
symmetry = Pmm2, No. 25



Entry x
The following is a DFT calculation (PBEsol) of crystalline Ag2PSe at its relaxed geometry.

```
4
Lattice="3.5607 0.0000 0.0000 0.0000 4.6439 0.0000 -1.7804 -2.3220 4.2198" Properties=species:S:1:pos:R:3 pbc="T T T"
Ag 1.7804 2.3220 2.2029
Ag 0.0000 0.0000 2.0170
P 1.7804 0.0000 0.0000
Se 0.0000 2.3220 0.0000
```

Properties
ρ = 7.8 Mg/m³
symmetry = Immm, No. 71



Relative energies, meV per atom: entry w 0; entry x 91.



Entry w
The following is a DFT calculation (PBEsol) of crystalline TcAgP2 at its relaxed geometry.

```
4
Lattice="-0.9492 -0.4306 -2.6454 0.2871 -2.2800 1.6744 -7.9178 0.9731 2.6825" Properties=species:S:1:pos:R:3 pbc="T T T"
Ag -0.3310 -1.3553 -0.4855
P -2.2115 0.2718 0.7492
P -5.7063 0.7013 1.9333
Tc -4.2900 -0.8687 0.8558
```

Properties
ρ = 7.4 Mg/m³
symmetry = Cmmm, No. 65



Entry x
The following is a DFT calculation (PBEsol) of crystalline TcAgP2 at its relaxed geometry.

```
4
Lattice="3.1096 0.0254 0.0000 -0.7362 4.2042 0.0000 0.0000 0.0000 4.5140" Properties=species:S:1:pos:R:3 pbc="T T T"
Ag -0.0028 3.1196 2.2570
P 0.1528 0.1254 0.0000
P 1.6486 1.1553 2.2570
Tc 1.7615 1.9440 0.0000
```

Properties
ρ = 7.5 Mg/m³
symmetry = Pm, No. 6



Entry y
The following is a DFT calculation (PBEsol) of crystalline TcAgP2 at its relaxed geometry.

```
4
Lattice="-3.9830 0.1578 0.8459 2.7793 -0.6543 3.3936 -0.1849 3.7553 -1.5711" Properties=species:S:1:pos:R:3 pbc="T T T"
Ag 0.0000 0.0000 0.0000
P -1.6438 0.7300 1.9385
P 0.2552 2.5288 0.7300
Tc -2.0840 1.9566 -0.3626
```

Properties
ρ = 7.9 Mg/m³
symmetry = I4/mmm, No. 139



Relative energies, meV per atom: entry w 193; entry x 0; entry y 224.



Entry w
The following is a DFT calculation (PBEsol) of crystalline AgTeP at its relaxed geometry.

```
3
Lattice="-2.1863 0.1480 -2.1081 2.4792 -1.7830 -2.6964 -2.0922 -4.3871 4.0548" Properties=species:S:1:pos:R:3 pbc="T T T"
P -0.1020 -1.4818 -2.1913
Te -1.3529 -3.6187 1.1490
Ag -0.3445 -0.9216 0.2926
```

Properties
ρ = 6.2 Mg/m³
symmetry = Imm2, No. 44



Entry x
The following is a DFT calculation (PBEsol) of crystalline AgTeP at its relaxed geometry.

```
3
Lattice="-1.5841 -2.4867 0.7161 0.4483 -1.0906 -2.7956 6.2908 -1.2511 3.1433" Properties=species:S:1:pos:R:3 pbc="T T T"
P 4.1515 -2.2051 1.5259
Te 1.3351 -2.7995 -0.3403
Ag 4.8234 -4.6524 0.9419
```

Properties
ρ = 7.1 Mg/m³
symmetry = I4mm, No. 107



Relative energies, meV per atom: entry w 0; entry x 214.



Entry w
The following is a DFT calculation (PBEsol) of crystalline TlAg2P at its relaxed geometry.

```
4
Lattice="2.9408 0.0165 0.0000 -0.0224 5.6498 0.0000 -1.4592 -2.8332 4.5938" Properties=species:S:1:pos:R:3 pbc="T T T"
Ag -0.7296 -1.4166 2.2969
Ag 0.7296 1.4166 2.2969
P 1.4704 0.0083 0.0000
Tl -0.0112 2.8249 0.0000
```

Properties
ρ = 9.8 Mg/m³
symmetry = C2/m, No. 12



Entry x
The following is a DFT calculation (PBEsol) of crystalline TlAg2P at its relaxed geometry.

```
4
Lattice="4.7374 0.0000 0.0000 2.3687 4.1027 0.0000 2.3687 1.3676 3.8681" Properties=species:S:1:pos:R:3 pbc="T T T"
Ag 2.3687 1.3676 0.9670
Ag 7.1062 4.1027 2.9011
P 0.0000 0.0000 0.0000
Tl 4.7374 2.7352 1.9341
```

Properties
ρ = 10.0 Mg/m³
symmetry = Fm-3m, No. 225



Entry y
The following is a DFT calculation (PBEsol) of crystalline TlAg2P at its relaxed geometry.

```
4
Lattice="-1.8876 -0.1957 -2.9839 -2.2056 -2.2916 1.5456 -3.4585 4.6008 1.8862" Properties=species:S:1:pos:R:3 pbc="T T T"
Ag -0.0951 0.1265 0.0518
Ag -3.0127 0.0415 -0.1922
P -1.5231 2.0262 0.8307
Tl -4.6501 2.2197 0.7007
```

Properties
ρ = 9.9 Mg/m³
symmetry = P4mm, No. 99



Relative energies, meV per atom: entry w 106; entry x 48; entry y 0.



Entry w
The following is a DFT calculation (PBEsol) of crystalline AgPW at its relaxed geometry.

```
3
Lattice="3.3074 0.0000 0.0000 0.0000 4.0778 0.0000 0.0000 -2.0389 3.5315" Properties=species:S:1:pos:R:3 pbc="T T T"
Ag 0.0000 0.0000 0.0000
P 1.6537 2.0389 1.1772
W 1.6537 0.0000 2.3543
```

Properties
ρ = 11.3 Mg/m³
symmetry = P-6m2, No. 187



Entry x
The following is a DFT calculation (PBEsol) of crystalline AgPW at its relaxed geometry.

```
3
Lattice="-3.2011 -0.9990 2.2997 -2.8888 -2.4440 -1.4882 -0.3820 -3.7926 1.4154" Properties=species:S:1:pos:R:3 pbc="T T T"
Ag -3.2359 -3.6178 1.1134
P -1.6180 -1.8089 0.5567
W 0.0000 0.0000 0.0000
```

Properties
ρ = 11.3 Mg/m³
symmetry = F-43m, No. 216



Relative energies, meV per atom: entry w 0; entry x 56.



Entry w
The following is a DFT calculation (PBEsol) of crystalline ReAgPb2 at its relaxed geometry.

```
4
Lattice="3.0216 0.0000 0.0000 0.0000 3.0216 0.0000 0.0000 0.0000 9.6136" Properties=species:S:1:pos:R:3 pbc="T T T"
Ag 1.5108 1.5108 6.8790
Pb 0.0000 0.0000 9.1221
Pb 1.5108 1.5108 2.9596
Re 0.0000 0.0000 5.0731
```

Properties
ρ = 13.4 Mg/m³
symmetry = P4mm, No. 99



Entry x
The following is a DFT calculation (PBEsol) of crystalline ReAgPb2 at its relaxed geometry.

```
4
Lattice="3.0359 0.0000 0.0000 0.0000 4.5477 -0.0066 -1.5179 -2.2636 6.4774" Properties=species:S:1:pos:R:3 pbc="T T T"
Ag 0.0000 2.2779 2.4017
Pb 0.0000 0.0002 0.1480
Pb 1.5179 0.0059 3.8953
Re 1.5179 2.2739 0.0225
```

Properties
ρ = 13.2 Mg/m³
symmetry = Imm2, No. 44



Relative energies, meV per atom: entry w 0; entry x 9.



Entry w
The following is a DFT calculation (PBEsol) of crystalline ReAgPb2 at its relaxed geometry.

```
4
Lattice="-2.4827 0.6740 1.9253 0.6877 -4.8009 -0.1139 3.6267 1.4304 4.1759" Properties=species:S:1:pos:R:3 pbc="T T T"
Ag -1.2414 0.3370 0.9627
Pb 1.1547 -0.7663 4.4386
Pb 0.6770 -1.9302 1.5488
Re 1.8134 0.7152 2.0880
```

Properties
ρ = 14.2 Mg/m³
symmetry = C2/m, No. 12



Entry x
The following is a DFT calculation (PBEsol) of crystalline ReAgPb2 at its relaxed geometry.

```
4
Lattice="3.5137 0.0000 0.0000 0.0000 3.5137 0.0000 0.0000 0.0000 6.5417" Properties=species:S:1:pos:R:3 pbc="T T T"
Ag 1.7568 1.7568 0.0000
Pb 0.0000 0.0000 1.7158
Pb 0.0000 0.0000 4.8259
Re 1.7568 1.7568 3.2709
```

Properties
ρ = 14.6 Mg/m³
symmetry = P4/mmm, No. 123



Relative energies, meV per atom: entry w 117; entry x 0.